SrTi2ZnOs | Alexandria via LeMat-Bulk | PBE-GGA | optimized geometry; space group = P4/mmm, No. 123; formation energy from the elements = 1.368 eV per atom; calculated total energy = -4.627 eV per atom; total magnetic moment = 0.02 μB per atom; density = 6.26 g/cm³; volume = 116.4 Å³/cell
1.0
4.688 0.000 0.000
0.000 5.297 0.000
0.000 0.000 4.688
Sr Zn Os Ti
1 1 1 2
Cartesian
0.000 2.648 0.000 Sr
0.000 0.000 0.000 Zn
2.344 2.648 2.344 Os
0.000 0.000 2.344 Ti
2.344 0.000 0.000 Ti


SrTlOs3 | Alexandria via LeMat-Bulk | PBE-GGA | optimized geometry; space group = Pm-3m, No. 221; formation energy from the elements = 2.416 eV per atom; energy relative to the lowest polymorph listed for this composition = 0.000 eV per atom; calculated total energy = -5.132 eV per atom; total magnetic moment = 0.98 μB per atom; density = 11.04 g/cm³; volume = 129.7 Å³/cell
1.0
5.062 0.000 0.000
0.000 5.062 0.000
0.000 0.000 5.062
Sr Tl Os
1 1 3
Cartesian
2.531 2.531 2.531 Sr
0.000 0.000 0.000 Tl
0.000 2.531 0.000 Os
0.000 0.000 2.531 Os
2.531 0.000 0.000 Os


Sr2TlOs | Alexandria via LeMat-Bulk | PBE-GGA | optimized geometry; space group = Fm-3m, No. 225; formation energy from the elements = 0.454 eV per atom; energy relative to the lowest polymorph listed for this composition = 0.141 eV per atom; calculated total energy = -3.786 eV per atom; total magnetic moment = 0.00 μB per atom; density = 8.58 g/cm³; volume = 110.3 Å³/cell
1.0
0.283 -3.573 4.017
-1.415 1.442 4.989
-4.514 -1.953 2.188
Sr Tl Os
2 1 1
Cartesian
-1.412 -1.021 2.798 Sr
-4.235 -3.063 8.395 Sr
-2.823 -2.042 5.597 Tl
0.000 0.000 0.000 Os


Sr2TlOs | Alexandria via LeMat-Bulk | PBE-GGA | optimized geometry; space group = R-3m, No. 166; formation energy from the elements = 0.593 eV per atom; energy relative to the lowest polymorph listed for this composition = 0.280 eV per atom; calculated total energy = -3.647 eV per atom; total magnetic moment = 0.08 μB per atom; density = 7.95 g/cm³; volume = 119.0 Å³/cell
1.0
-8.571 5.411 -2.201
-9.366 2.226 -3.861
-10.027 2.642 -0.266
Os Sr Tl
1 2 1
Cartesian
-20.973 7.709 -4.747 Os
-0.373 0.137 -0.084 Sr
-13.609 5.002 -3.080 Sr
-6.991 2.570 -1.582 Tl


Sr4TlOs | Alexandria via LeMat-Bulk | PBE-GGA | optimized geometry; space group = F-43m, No. 216; formation energy from the elements = 1.091 eV per atom; calculated total energy = -2.297 eV per atom; total magnetic moment = 0.00 μB per atom; density = 6.30 g/cm³; volume = 196.5 Å³/cell
1.0
0.000 4.614 4.614
4.614 0.000 4.614
4.614 4.614 0.000
Sr Tl Os
4 1 1
Cartesian
3.450 5.779 5.779 Sr
5.779 5.779 3.450 Sr
5.779 3.450 5.779 Sr
3.450 3.450 3.450 Sr
6.921 6.921 6.921 Tl
0.000 0.000 0.000 Os


SrTlOs3 | Alexandria via LeMat-Bulk | PBE-GGA | optimized geometry; space group = Pm-3m, No. 221; formation energy from the elements = 3.382 eV per atom; energy relative to the lowest polymorph listed for this composition = 0.966 eV per atom; calculated total energy = -4.165 eV per atom; total magnetic moment = 1.00 μB per atom; density = 11.39 g/cm³; volume = 125.8 Å³/cell
1.0
-3.568 2.668 2.292
-3.517 -2.755 -2.268
0.052 -3.224 3.835
Sr Tl Os
1 1 3
Cartesian
0.000 0.000 0.000 Sr
-3.517 -1.655 1.929 Tl
-1.758 -1.377 -1.134 Os
0.026 -1.612 1.917 Os
-1.784 1.334 1.146 Os


Sr2TlOs | Alexandria via LeMat-Bulk | PBE-GGA | optimized geometry; space group = P4/mmm, No. 123; formation energy from the elements = 0.400 eV per atom; energy relative to the lowest polymorph listed for this composition = 0.087 eV per atom; calculated total energy = -3.840 eV per atom; total magnetic moment = 0.01 μB per atom; density = 8.34 g/cm³; volume = 113.5 Å³/cell
1.0
3.679 0.000 0.000
0.000 3.672 0.000
0.000 0.000 8.403
Os Sr Tl
1 2 1
Cartesian
1.839 1.836 6.303 Os
0.000 0.000 8.057 Sr
0.000 0.000 4.548 Sr
1.839 1.836 2.101 Tl


Sr2TlOs | Alexandria via LeMat-Bulk | PBE-GGA | optimized geometry; space group = C2/m, No. 12; formation energy from the elements = 0.586 eV per atom; energy relative to the lowest polymorph listed for this composition = 0.273 eV per atom; calculated total energy = -3.654 eV per atom; total magnetic moment = 0.15 μB per atom; density = 7.66 g/cm³; volume = 123.6 Å³/cell
1.0
4.424 0.008 0.007
3.208 3.047 0.007
0.935 0.374 9.187
Os Sr Tl
1 2 1
Cartesian
2.142 0.857 2.300 Os
7.602 3.042 0.471 Sr
4.314 1.726 4.143 Sr
6.426 2.572 6.901 Tl


SrTl3Os | Alexandria via LeMat-Bulk | PBE-GGA | optimized geometry; space group = Pm-3m, No. 221; formation energy from the elements = 1.870 eV per atom; energy relative to the lowest polymorph listed for this composition = 1.625 eV per atom; calculated total energy = -2.132 eV per atom; total magnetic moment = 0.54 μB per atom; density = 6.55 g/cm³; volume = 225.8 Å³/cell
1.0
-1.141 -0.109 5.981
-4.632 -3.836 -0.953
3.784 -4.728 0.635
Sr Tl Os
1 3 1
Cartesian
0.000 0.000 0.000 Sr
-2.316 -1.918 -0.477 Tl
1.892 -2.364 0.318 Tl
-0.570 -0.055 2.990 Tl
-0.994 -4.336 2.831 Os


Sr2Tl2Os | Alexandria via LeMat-Bulk | PBE-GGA | optimized geometry; space group = P4/mbm, No. 127; formation energy from the elements = 0.667 eV per atom; energy relative to the lowest polymorph listed for this composition = 0.075 eV per atom; calculated total energy = -3.198 eV per atom; total magnetic moment = 0.21 μB per atom; density = 7.90 g/cm³; volume = 325.7 Å³/cell
1.0
7.964 0.000 0.000
0.000 7.964 0.000
0.000 0.000 5.134
Sr Tl Os
4 4 2
Cartesian
2.682 6.664 0.000 Sr
6.664 5.282 0.000 Sr
5.282 1.300 0.000 Sr
1.300 2.682 0.000 Sr
1.212 5.194 2.567 Tl
5.194 6.752 2.567 Tl
6.752 2.770 2.567 Tl
2.770 1.212 2.567 Tl
0.000 0.000 0.000 Os
3.982 3.982 0.000 Os


Sr2TlOs | Alexandria via LeMat-Bulk | PBE-GGA | optimized geometry; space group = I-42d, No. 122; formation energy from the elements = 0.435 eV per atom; energy relative to the lowest polymorph listed for this composition = 0.122 eV per atom; calculated total energy = -3.805 eV per atom; total magnetic moment = 0.00 μB per atom; density = 6.02 g/cm³; volume = 314.2 Å³/cell
1.0
10.848 0.000 0.000
0.000 10.848 0.000
5.424 5.424 2.670
Sr Tl Os
4 2 2
Cartesian
6.361 2.712 0.668 Sr
4.487 8.136 0.668 Sr
8.136 9.911 2.003 Sr
13.560 11.786 2.003 Sr
0.000 0.000 0.000 Tl
10.848 5.424 1.335 Tl
5.424 5.424 0.000 Os
5.424 10.848 1.335 Os


Sr2Tl2Os | Alexandria via LeMat-Bulk | PBE-GGA | optimized geometry; space group = I4/mmm, No. 139; formation energy from the elements = 0.592 eV per atom; energy relative to the lowest polymorph listed for this composition = 0.000 eV per atom; calculated total energy = -3.273 eV per atom; total magnetic moment = 0.07 μB per atom; density = 7.84 g/cm³; volume = 164.0 Å³/cell
1.0
4.076 0.000 0.000
0.000 4.076 0.000
2.038 2.038 9.870
Sr Tl Os
2 2 1
Cartesian
2.038 2.038 1.674 Sr
4.076 4.076 8.196 Sr
4.076 2.038 4.935 Tl
2.038 4.076 4.935 Tl
0.000 0.000 0.000 Os


Sr2TlOs | Alexandria via LeMat-Bulk | PBE-GGA | optimized geometry; space group = R3m, No. 160; formation energy from the elements = 0.323 eV per atom; energy relative to the lowest polymorph listed for this composition = 0.010 eV per atom; calculated total energy = -3.917 eV per atom; total magnetic moment = 0.00 μB per atom; density = 6.51 g/cm³; volume = 145.3 Å³/cell
1.0
-1.674 -3.527 -7.035
-4.562 -5.408 -3.831
-5.545 -1.204 -5.704
Os Sr Tl
1 2 1
Cartesian
-9.333 -8.032 -13.126 Os
-0.453 -0.390 -0.637 Sr
-2.490 -2.143 -3.502 Sr
-5.396 -4.644 -7.590 Tl


Sr2TlOs | Alexandria via LeMat-Bulk | PBE-GGA | optimized geometry; space group = F-43m, No. 216; formation energy from the elements = 0.573 eV per atom; energy relative to the lowest polymorph listed for this composition = 0.260 eV per atom; calculated total energy = -3.667 eV per atom; total magnetic moment = 0.00 μB per atom; density = 9.21 g/cm³; volume = 102.8 Å³/cell
1.0
-4.214 3.135 0.260
-4.284 -1.113 -2.838
-4.376 -1.670 2.390
Os Sr Tl
1 2 1
Cartesian
-6.437 0.175 -0.094 Os
0.000 0.000 0.000 Sr
-3.218 0.088 -0.047 Sr
-9.655 0.263 -0.141 Tl


Sr2TlOs | Alexandria via LeMat-Bulk | PBE-GGA | optimized geometry; space group = Amm2, No. 38; formation energy from the elements = 0.313 eV per atom; energy relative to the lowest polymorph listed for this composition = 0.000 eV per atom; calculated total energy = -3.927 eV per atom; total magnetic moment = 0.00 μB per atom; density = 7.61 g/cm³; volume = 124.3 Å³/cell
1.0
4.577 0.000 0.000
0.000 4.676 -0.001
0.000 2.343 5.807
Os Sr Tl
1 2 1
Cartesian
2.289 4.389 4.357 Os
0.000 6.725 5.280 Sr
2.289 2.047 1.989 Sr
0.000 4.385 2.891 Tl